Here is an optimized crystal structure of HPtRh2W from the Alexandria database. Energies are from PBE-GGA.

The structure in POSCAR format:
```
HPtRh2W
1.0
3.9314 0.0000 0.0000
0.0000 3.9314 0.0000
0.0000 0.0000 4.0088
H Pt Rh W
1 1 2 1
Direct
0.0000 0.0000 0.0000
0.5000 0.5000 0.5000
0.0000 0.5000 0.0000
0.5000 0.0000 0.0000
0.0000 0.0000 0.5000
```

Values from the calculation:
The value obtained for the total energy is -37.23 eV per formula unit. The value obtained for the density of states at the Fermi level is 5.621 states/eV/f.u.